The following is a PBE calculation of a relaxed structure of CsLa2Pt, from Alexandria.

Cell lengths 5.497, 5.497, 5.497 Å; angles 60.00, 60.00, 60.00 degrees
Element x y z (fractional)
Cs 0.000 0.000 0.000
La 0.250 0.250 0.250
La 0.750 0.750 0.750
Pt 0.500 0.500 0.500

Output
**Theoretical density**: 8.6 Mg/m³
**Final energy**: -4.14 eV per atom
**Symmetry**: Fm-3m
**Energy relative to the elements**: 1.1 kcal/mol of atoms